1.
AcSm5 | GGA-PBE | relaxed

a = 11.658 Å, b = 5.220 Å, c = 7.378 Å
α = 90.00°, β = 108.34°, γ = 90.00°
Space group C2/m (No. 12)
Inequivalent atoms, fractional coordinates:
Ac1 0.000 0.000 0.000
Sm1 0.000 0.000 0.500
Sm2 0.166 0.500 0.829
Sm3 0.170 0.500 0.339

Results
Spin magnetization (μB per cell): 0.00
DOS at the Fermi energy (states/eV/f.u.): 9.38
ΔE_f (eV per atom): 0.032

2.
ZrTc2Sb | GGA-PBE | relaxed

a = 3.103 Å, b = 4.625 Å, c = 5.179 Å
α = 90.00°, β = 103.61°, γ = 90.00°
Space group Pm (No. 6)
Inequivalent atoms, fractional coordinates:
Zr1 0.000 0.000 0.000
Tc1 0.201 0.500 0.703
Tc2 0.538 0.000 0.522
Sb1 0.557 0.500 0.247

Results
Spin magnetization (μB per cell): 0.00
DOS at the Fermi energy (states/eV/f.u.): 2.93
Energy (eV per atom): -8.42

3.
Tc2P | GGA-PBE | relaxed

a = 5.888 Å, b = 4.010 Å, c = 6.955 Å
α = 90.00°, β = 90.00°, γ = 90.00°
Space group Pnma (No. 62)
Inequivalent atoms, fractional coordinates:
Tc1 0.007 0.250 0.168
Tc2 0.139 0.250 0.575
P1 0.242 0.250 0.897

Results
Spin magnetization (μB per cell): 0.00
DOS at the Fermi energy (states/eV/f.u.): 2.36
Polymorph energy (0 for the lowest one) (meV per atom): 0
ΔE_f (eV per atom): -0.438

Which value of DOS at the Fermi energy does entry 1 give?
9.38 states/eV/f.u.